No. 1
Below is a relaxed structure of CdRu3Cl, with properties calculated at the PBE-GGA level.

## Properties
- energy (eV per atom) = -3.8755
- magnetization (μB/f.u.) = 7.3
- DOS at the Fermi energy (states/eV per atom) = 2.16
- energy relative to the elements, uncorrected (eV/atom) = 2.24

Structure (CIF):
```
data_CdRu3Cl
_chemical_formula_sum 'Cd1 Ru3 Cl1'
_cell_length_a 5.035
_cell_length_b 5.035
_cell_length_c 5.035
_cell_angle_alpha 90.00
_cell_angle_beta 90.00
_cell_angle_gamma 90.00
_space_group_name_H-M_alt 'P m -3 m'
_space_group_IT_number 221
_space_group_name_Hall '-P 4 2 3'
loop_
_atom_site_label
_atom_site_type_symbol
_atom_site_fract_x
_atom_site_fract_y
_atom_site_fract_z
_atom_site_occupancy
Cd1 Cd 0.000 0.000 0.000 1
Ru1 Ru 0.000 0.000 0.500 1
Cl1 Cl 0.500 0.500 0.500 1
```

---

No. 2
Below is a relaxed structure of CdRuCl3, with properties calculated at the PBE-GGA level.

## Properties
- energy (eV per atom) = -2.8970
- magnetization (μB/f.u.) = 3.0
- DOS at the Fermi energy (states/eV per atom) = 0.93
- energy relative to the elements, uncorrected (eV/atom) = 0.25

Structure (CIF):
```
data_CdRuCl3
_chemical_formula_sum 'Cd1 Ru1 Cl3'
_cell_length_a 5.157
_cell_length_b 5.157
_cell_length_c 5.157
_cell_angle_alpha 90.00
_cell_angle_beta 90.00
_cell_angle_gamma 90.00
_space_group_name_H-M_alt 'P m -3 m'
_space_group_IT_number 221
_space_group_name_Hall '-P 4 2 3'
loop_
_atom_site_label
_atom_site_type_symbol
_atom_site_fract_x
_atom_site_fract_y
_atom_site_fract_z
_atom_site_occupancy
Cd1 Cd 0.000 0.000 0.000 1
Ru1 Ru 0.500 0.500 0.500 1
Cl1 Cl 0.000 0.000 0.500 1
```

---

No. 3
Below is a relaxed structure of CdRuS2Cl, with properties calculated at the PBE-GGA level.

## Properties
- energy (eV per atom) = -3.0744
- magnetization (μB/f.u.) = 4.2
- DOS at the Fermi energy (states/eV per atom) = 0.93
- energy relative to the elements, uncorrected (eV/atom) = 0.98

Structure (CIF):
```
data_CdRuS2Cl
_chemical_formula_sum 'Cd1 Ru1 S2 Cl1'
_cell_length_a 4.960
_cell_length_b 4.960
_cell_length_c 5.089
_cell_angle_alpha 90.00
_cell_angle_beta 90.00
_cell_angle_gamma 90.00
_space_group_name_H-M_alt 'P 4/m m m'
_space_group_IT_number 123
_space_group_name_Hall '-P 4 2'
loop_
_atom_site_label
_atom_site_type_symbol
_atom_site_fract_x
_atom_site_fract_y
_atom_site_fract_z
_atom_site_occupancy
Cd1 Cd 0.000 0.000 0.000 1
Ru1 Ru 0.500 0.500 0.500 1
S1 S 0.000 0.500 0.000 1
Cl1 Cl 0.000 0.000 0.500 1
```

---

No. 4
Below is a relaxed structure of CdRuS2Cl, with properties calculated at the PBE-GGA level.

## Properties
- energy (eV per atom) = -3.9773
- magnetization (μB/f.u.) = 0.0
- DOS at the Fermi energy (states/eV per atom) = 0.81
- energy relative to the elements, uncorrected (eV/atom) = 0.08

Structure (CIF):
```
data_CdRuS2Cl
_chemical_formula_sum 'Cd1 Ru1 S2 Cl1'
_cell_length_a 4.605
_cell_length_b 4.605
_cell_length_c 4.964
_cell_angle_alpha 90.00
_cell_angle_beta 90.00
_cell_angle_gamma 90.00
_space_group_name_H-M_alt 'P 4/m m m'
_space_group_IT_number 123
_space_group_name_Hall '-P 4 2'
loop_
_atom_site_label
_atom_site_type_symbol
_atom_site_fract_x
_atom_site_fract_y
_atom_site_fract_z
_atom_site_occupancy
Cd1 Cd 0.000 0.000 0.000 1
Ru1 Ru 0.500 0.500 0.500 1
S1 S 0.000 0.500 0.500 1
Cl1 Cl 0.500 0.500 0.000 1
```

---

No. 5
Below is a relaxed structure of CdSb2RuCl, with properties calculated at the PBE-GGA level.

## Properties
- energy (eV per atom) = -3.0980
- magnetization (μB/f.u.) = 0.5
- DOS at the Fermi energy (states/eV per atom) = 1.37
- energy relative to the elements, uncorrected (eV/atom) = 0.96

Structure (CIF):
```
data_CdSb2RuCl
_chemical_formula_sum 'Cd1 Sb2 Ru1 Cl1'
_cell_length_a 5.408
_cell_length_b 5.408
_cell_length_c 4.368
_cell_angle_alpha 90.00
_cell_angle_beta 90.00
_cell_angle_gamma 90.00
_space_group_name_H-M_alt 'P 4/m m m'
_space_group_IT_number 123
_space_group_name_Hall '-P 4 2'
loop_
_atom_site_label
_atom_site_type_symbol
_atom_site_fract_x
_atom_site_fract_y
_atom_site_fract_z
_atom_site_occupancy
Cd1 Cd 0.000 0.000 0.000 1
Sb1 Sb 0.000 0.500 0.500 1
Ru1 Ru 0.500 0.500 0.000 1
Cl1 Cl 0.500 0.500 0.500 1
```

---

No. 6
Below is a relaxed structure of Sc2CdRuCl, with properties calculated at the PBE-GGA level.

## Properties
- energy (eV per atom) = -4.0766
- magnetization (μB/f.u.) = 0.0
- DOS at the Fermi energy (states/eV per atom) = 1.89
- energy relative to the elements, uncorrected (eV/atom) = 0.86

Structure (CIF):
```
data_Sc2CdRuCl
_chemical_formula_sum 'Sc2 Cd1 Ru1 Cl1'
_cell_length_a 5.366
_cell_length_b 5.366
_cell_length_c 4.848
_cell_angle_alpha 90.00
_cell_angle_beta 90.00
_cell_angle_gamma 90.00
_space_group_name_H-M_alt 'P 4/m m m'
_space_group_IT_number 123
_space_group_name_Hall '-P 4 2'
loop_
_atom_site_label
_atom_site_type_symbol
_atom_site_fract_x
_atom_site_fract_y
_atom_site_fract_z
_atom_site_occupancy
Sc1 Sc 0.000 0.500 0.000 1
Cd1 Cd 0.000 0.000 0.000 1
Ru1 Ru 0.000 0.000 0.500 1
Cl1 Cl 0.500 0.500 0.500 1
```

---

No. 7
Below is a relaxed structure of CdRu2SeCl, with properties calculated at the PBE-GGA level.

## Properties
- energy (eV per atom) = -3.8601
- magnetization (μB/f.u.) = 2.6
- DOS at the Fermi energy (states/eV per atom) = 1.31
- energy relative to the elements, uncorrected (eV/atom) = 1.10

Structure (CIF):
```
data_CdRu2SeCl
_chemical_formula_sum 'Cd1 Ru2 Se1 Cl1'
_cell_length_a 4.295
_cell_length_b 4.295
_cell_length_c 6.136
_cell_angle_alpha 90.00
_cell_angle_beta 90.00
_cell_angle_gamma 90.00
_space_group_name_H-M_alt 'P 4/m m m'
_space_group_IT_number 123
_space_group_name_Hall '-P 4 2'
loop_
_atom_site_label
_atom_site_type_symbol
_atom_site_fract_x
_atom_site_fract_y
_atom_site_fract_z
_atom_site_occupancy
Cd1 Cd 0.000 0.000 0.000 1
Ru1 Ru 0.000 0.500 0.500 1
Se1 Se 0.500 0.500 0.000 1
Cl1 Cl 0.500 0.500 0.500 1
```

---

No. 8
Below is a relaxed structure of SrCdRu2Cl, with properties calculated at the PBE-GGA level.

## Properties
- energy (eV per atom) = -3.5352
- magnetization (μB/f.u.) = 3.9
- DOS at the Fermi energy (states/eV per atom) = 1.52
- energy relative to the elements, uncorrected (eV/atom) = 1.06

Structure (CIF):
```
data_SrCdRu2Cl
_chemical_formula_sum 'Sr1 Cd1 Ru2 Cl1'
_cell_length_a 4.998
_cell_length_b 4.998
_cell_length_c 6.320
_cell_angle_alpha 90.00
_cell_angle_beta 90.00
_cell_angle_gamma 90.00
_space_group_name_H-M_alt 'P 4/m m m'
_space_group_IT_number 123
_space_group_name_Hall '-P 4 2'
loop_
_atom_site_label
_atom_site_type_symbol
_atom_site_fract_x
_atom_site_fract_y
_atom_site_fract_z
_atom_site_occupancy
Sr1 Sr 0.000 0.000 0.000 1
Cd1 Cd 0.000 0.000 0.500 1
Ru1 Ru 0.000 0.500 0.500 1
Cl1 Cl 0.500 0.500 0.000 1
```

---

No. 9
Below is a relaxed structure of SrCd2RuCl, with properties calculated at the PBE-GGA level.

## Properties
- energy (eV per atom) = -2.5191
- magnetization (μB/f.u.) = 1.4
- DOS at the Fermi energy (states/eV per atom) = 0.70
- energy relative to the elements, uncorrected (eV/atom) = 0.41

Structure (CIF):
```
data_SrCd2RuCl
_chemical_formula_sum 'Sr1 Cd2 Ru1 Cl1'
_cell_length_a 5.718
_cell_length_b 5.718
_cell_length_c 4.436
_cell_angle_alpha 90.00
_cell_angle_beta 90.00
_cell_angle_gamma 90.00
_space_group_name_H-M_alt 'P 4/m m m'
_space_group_IT_number 123
_space_group_name_Hall '-P 4 2'
loop_
_atom_site_label
_atom_site_type_symbol
_atom_site_fract_x
_atom_site_fract_y
_atom_site_fract_z
_atom_site_occupancy
Sr1 Sr 0.000 0.000 0.000 1
Cd1 Cd 0.000 0.500 0.500 1
Ru1 Ru 0.500 0.500 0.000 1
Cl1 Cl 0.500 0.500 0.500 1
```

---

No. 10
Below is a relaxed structure of Cd2SCl, with properties calculated at the PBE-GGA level.

## Properties
- energy (eV per atom) = -2.1798
- magnetization (μB/f.u.) = 0.0
- DOS at the Fermi energy (states/eV per atom) = 0.41
- energy relative to the elements, uncorrected (eV/atom) = -0.23

Structure (CIF):
```
data_Cd2SCl
_chemical_formula_sum 'Cd8 S4 Cl4'
_cell_length_a 6.945
_cell_length_b 6.945
_cell_length_c 6.945
_cell_angle_alpha 90.00
_cell_angle_beta 90.00
_cell_angle_gamma 90.00
_space_group_name_H-M_alt 'F m -3 m'
_space_group_IT_number 225
_space_group_name_Hall '-F 4 2 3'
loop_
_atom_site_label
_atom_site_type_symbol
_atom_site_fract_x
_atom_site_fract_y
_atom_site_fract_z
_atom_site_occupancy
Cd1 Cd 0.250 0.250 0.250 1
S1 S 0.000 0.000 0.000 1
Cl1 Cl 0.000 0.000 0.500 1
```

---

No. 11
Below is a relaxed structure of CdS2Cl2, with properties calculated at the PBE-GGA level.

## Properties
- energy (eV per atom) = -3.0902
- magnetization (μB/f.u.) = 0.0
- DOS at the Fermi energy (states/eV per atom) = 0.20
- energy relative to the elements, uncorrected (eV/atom) = -0.52

Structure (CIF):
```
data_CdS2Cl2
_chemical_formula_sum 'Cd2 S4 Cl4'
_cell_length_a 6.953
_cell_length_b 3.814
_cell_length_c 10.967
_cell_angle_alpha 90.00
_cell_angle_beta 92.91
_cell_angle_gamma 90.00
_space_group_name_H-M_alt 'C 1 2/m 1'
_space_group_IT_number 12
loop_
_space_group_symop_operation_xyz
'x,y,z'
'-x,-y,-z'
'-x,y,-z'
'x,-y,z'
'x+1/2,y+1/2,z'
'-x+1/2,-y+1/2,-z'
'-x+1/2,y+1/2,-z'
'x+1/2,-y+1/2,z'
loop_
_atom_site_label
_atom_site_type_symbol
_atom_site_fract_x
_atom_site_fract_y
_atom_site_fract_z
_atom_site_occupancy
Cd1 Cd 0.000 0.000 0.000 1
S1 S 0.123 0.500 0.544 1
Cl1 Cl 0.177 0.500 0.131 1
```

---

No. 12
Below is a relaxed structure of Cd5S4Cl2, with properties calculated at the PBE-GGA level.

## Properties
- energy (eV per atom) = -2.9755
- magnetization (μB/f.u.) = 0.0
- DOS at the Fermi energy (states/eV per atom) = 0.00
- energy relative to the elements, uncorrected (eV/atom) = -0.72

Structure (CIF):
```
data_Cd5S4Cl2
_chemical_formula_sum 'Cd10 S8 Cl4'
_cell_length_a 14.802
_cell_length_b 4.275
_cell_length_c 10.022
_cell_angle_alpha 90.00
_cell_angle_beta 103.26
_cell_angle_gamma 90.00
_space_group_name_H-M_alt 'C 1 m 1'
_space_group_IT_number 8
loop_
_space_group_symop_operation_xyz
'x,y,z'
'x,-y,z'
'x+1/2,y+1/2,z'
'x+1/2,-y+1/2,z'
loop_
_atom_site_label
_atom_site_type_symbol
_atom_site_fract_x
_atom_site_fract_y
_atom_site_fract_z
_atom_site_occupancy
Cd1 Cd 0.000 0.000 0.000 1
Cd2 Cd 0.068 0.000 0.625 1
Cd3 Cd 0.143 0.500 0.349 1
Cd4 Cd 0.226 0.500 0.962 1
Cd5 Cd 0.379 0.000 0.285 1
S1 S 0.005 0.500 0.138 1
S2 S 0.012 0.500 0.502 1
S3 S 0.134 0.000 0.879 1
S4 S 0.283 0.500 0.222 1
Cl1 Cl 0.217 0.000 0.493 1
Cl2 Cl 0.349 0.500 0.820 1
```

---

No. 13
Below is a relaxed structure of Cd2SCl, with properties calculated at the PBE-GGA level.

## Properties
- energy (eV per atom) = -2.4333
- magnetization (μB/f.u.) = 0.0
- DOS at the Fermi energy (states/eV per atom) = 0.40
- energy relative to the elements, uncorrected (eV/atom) = -0.48

Structure (CIF):
```
data_Cd2SCl
_chemical_formula_sum 'Cd6 S3 Cl3'
_cell_length_a 4.2159
_cell_length_b 4.2159
_cell_length_c 23.0326
_cell_angle_alpha 90.00
_cell_angle_beta 90.00
_cell_angle_gamma 120.00
_space_group_name_H-M_alt 'R 3 m'
_space_group_IT_number 160
_space_group_name_Hall 'R 3 -2"'
loop_
_atom_site_label
_atom_site_type_symbol
_atom_site_fract_x
_atom_site_fract_y
_atom_site_fract_z
_atom_site_occupancy
Cd1 Cd 0.0000 0.0000 0.0000 1
Cd2 Cd 0.0000 0.0000 0.4838 1
S1 S 0.0000 0.0000 0.3662 1
Cl1 Cl 0.0000 0.0000 0.8841 1
```

---

Here are the calculated calculated volume numbers, same order: 25.5, 27.4, 25.0, 21.1, 25.6, 27.9, 22.6, 31.6, 29.0, 20.9, 29.0, 28.1, 29.5 (A^3/atom).